No. 1
Computed, not measured: Sr3Ce2HoSb6 after structural relaxation at the GGA-PBE level of DFT.

Structure (CIF):
```
data_Sr3Ce2HoSb6
_cell_length_a 7.929
_cell_length_b 13.738
_cell_length_c 8.018
_cell_angle_alpha 90.00
_cell_angle_beta 109.26
_cell_angle_gamma 90.00
_symmetry_space_group_name_H-M 'C 1 2/m 1'
_symmetry_Int_Tables_number 12
loop_
_symmetry_equiv_pos_as_xyz
'x,y,z'
'-x,-y,-z'
'-x,y,-z'
'x,-y,z'
'x+1/2,y+1/2,z'
'-x+1/2,-y+1/2,-z'
'-x+1/2,y+1/2,-z'
'x+1/2,-y+1/2,z'
loop_
_atom_site_label
_atom_site_fract_x
_atom_site_fract_y
_atom_site_fract_z
Sr1 0.000 0.000 0.000
Sr2 0.000 0.333 0.000
Ce1 0.000 0.166 0.500
Ho1 0.000 0.500 0.500
Sb1 0.240 0.334 0.723
Sb2 0.242 0.000 0.724
```

Results
E_form (uncorrected)   -984 meV/atom
Total magnetic moment   0.002 μB/cell

No. 2
Computed, not measured: Sr2CeHoSb4 after structural relaxation at the GGA-PBE level of DFT.

Structure (CIF):
```
data_Sr2CeHoSb4
_cell_length_a 7.881
_cell_length_b 4.570
_cell_length_c 8.041
_cell_angle_alpha 90.00
_cell_angle_beta 109.29
_cell_angle_gamma 90.00
_symmetry_space_group_name_H-M 'P 1 2/m 1'
_symmetry_Int_Tables_number 10
loop_
_symmetry_equiv_pos_as_xyz
'x,y,z'
'-x,-y,-z'
'-x,y,-z'
'x,-y,z'
loop_
_atom_site_label
_atom_site_fract_x
_atom_site_fract_y
_atom_site_fract_z
Sr1 0.000 0.000 0.000
Sr2 0.500 0.500 0.000
Ce1 0.000 0.500 0.500
Ho1 0.500 0.000 0.500
Sb1 0.243 0.000 0.723
Sb2 0.261 0.500 0.277
```

Results
E_form (uncorrected)   -971 meV/atom
Total magnetic moment   0.000 μB/cell

No. 3
Computed, not measured: TbCe2HoSb4 after structural relaxation at the GGA-PBE level of DFT.

Structure (CIF):
```
data_TbCe2HoSb4
_cell_length_a 7.690
_cell_length_b 4.441
_cell_length_c 7.695
_cell_angle_alpha 90.00
_cell_angle_beta 109.47
_cell_angle_gamma 90.00
_symmetry_space_group_name_H-M 'P 1 2/m 1'
_symmetry_Int_Tables_number 10
loop_
_symmetry_equiv_pos_as_xyz
'x,y,z'
'-x,-y,-z'
'-x,y,-z'
'x,-y,z'
loop_
_atom_site_label
_atom_site_fract_x
_atom_site_fract_y
_atom_site_fract_z
Tb1 0.000 0.000 0.000
Ce1 0.500 0.000 0.500
Ce2 0.500 0.500 0.000
Ho1 0.000 0.500 0.500
Sb1 0.243 0.000 0.747
Sb2 0.244 0.500 0.249
```

Results
E_form (uncorrected)   -1088 meV/atom
Total magnetic moment   1.562 μB/cell

No. 4
Computed, not measured: Tb2Ce3HoSb6 after structural relaxation at the GGA-PBE level of DFT.

Structure (CIF):
```
data_Tb2Ce3HoSb6
_cell_length_a 7.703
_cell_length_b 13.339
_cell_length_c 7.696
_cell_angle_alpha 90.00
_cell_angle_beta 109.49
_cell_angle_gamma 90.00
_symmetry_space_group_name_H-M 'C 1 2/m 1'
_symmetry_Int_Tables_number 12
loop_
_symmetry_equiv_pos_as_xyz
'x,y,z'
'-x,-y,-z'
'-x,y,-z'
'x,-y,z'
'x+1/2,y+1/2,z'
'-x+1/2,-y+1/2,-z'
'-x+1/2,y+1/2,-z'
'x+1/2,-y+1/2,z'
loop_
_atom_site_label
_atom_site_fract_x
_atom_site_fract_y
_atom_site_fract_z
Tb1 0.000 0.166 0.000
Ce1 0.000 0.000 0.500
Ce2 0.000 0.333 0.500
Ho1 0.000 0.500 0.000
Sb1 0.247 0.334 0.244
Sb2 0.250 0.000 0.245
```

Results
E_form (uncorrected)   -1092 meV/atom
Total magnetic moment   4.788 μB/cell

No. 5
Computed, not measured: CeHoSbTe after structural relaxation at the GGA-PBE level of DFT.

Structure (CIF):
```
data_CeHoSbTe
_cell_length_a 4.4251
_cell_length_b 4.4251
_cell_length_c 21.8207
_cell_angle_alpha 90.00
_cell_angle_beta 90.00
_cell_angle_gamma 120.00
_symmetry_space_group_name_H-M 'R 3 m'
_symmetry_Int_Tables_number 160
_symmetry_space_group_name_Hall 'R 3 -2"'
loop_
_atom_site_label
_atom_site_fract_x
_atom_site_fract_y
_atom_site_fract_z
Ce1 0.0000 0.0000 0.0000
Ho1 0.0000 0.0000 0.5051
Sb1 0.0000 0.0000 0.2488
Te1 0.0000 0.0000 0.7562
```

Results
E_form (uncorrected)   -1232 meV/atom
Total magnetic moment   3.531 μB/cell

No. 6
Computed, not measured: Ce2HoThSb5 after structural relaxation at the GGA-PBE level of DFT.

Structure (CIF):
```
data_Ce2HoThSb5
_cell_length_a 5.265
_cell_length_b 5.265
_cell_length_c 11.799
_cell_angle_alpha 90.00
_cell_angle_beta 90.00
_cell_angle_gamma 90.00
_symmetry_space_group_name_H-M 'P 4/m m m'
_symmetry_Int_Tables_number 123
_symmetry_space_group_name_Hall '-P 4 2'
loop_
_atom_site_label
_atom_site_fract_x
_atom_site_fract_y
_atom_site_fract_z
Ce1 0.000 0.000 0.202
Ho1 0.500 0.500 0.000
Th1 0.500 0.500 0.500
Sb1 0.000 0.000 0.500
Sb2 0.000 0.500 0.000
Sb3 0.500 0.500 0.250
```

Results
E_form (uncorrected)   -275 meV/atom
Total magnetic moment   1.780 μB/cell

No. 7
Computed, not measured: CeHoTh2Sb5 after structural relaxation at the GGA-PBE level of DFT.

Structure (CIF):
```
data_CeHoTh2Sb5
_cell_length_a 5.266
_cell_length_b 5.266
_cell_length_c 11.595
_cell_angle_alpha 90.00
_cell_angle_beta 90.00
_cell_angle_gamma 90.00
_symmetry_space_group_name_H-M 'P 4/m m m'
_symmetry_Int_Tables_number 123
_symmetry_space_group_name_Hall '-P 4 2'
loop_
_atom_site_label
_atom_site_fract_x
_atom_site_fract_y
_atom_site_fract_z
Ce1 0.000 0.000 0.000
Ho1 0.000 0.000 0.500
Th1 0.500 0.500 0.309
Sb1 0.000 0.000 0.250
Sb2 0.000 0.500 0.500
Sb3 0.500 0.500 0.000
```

Results
E_form (uncorrected)   -210 meV/atom
Total magnetic moment   0.563 μB/cell

No. 8
Computed, not measured: Ce3HoTh4Sb8 after structural relaxation at the GGA-PBE level of DFT.

Structure (CIF):
```
data_Ce3HoTh4Sb8
_cell_length_a 8.9779
_cell_length_b 8.9779
_cell_length_c 21.9911
_cell_angle_alpha 90.00
_cell_angle_beta 90.00
_cell_angle_gamma 120.00
_symmetry_space_group_name_H-M 'R -3 m'
_symmetry_Int_Tables_number 166
_symmetry_space_group_name_Hall '-R 3 2"'
loop_
_atom_site_label
_atom_site_fract_x
_atom_site_fract_y
_atom_site_fract_z
Ce1 0.0000 0.5000 0.0000
Ho1 0.0000 0.0000 0.0000
Th1 0.0000 0.0000 0.5000
Th2 0.0000 0.5000 0.5000
Sb1 0.0000 0.0000 0.2505
Sb2 0.0036 0.5018 0.7485
```

Results
E_form (uncorrected)   -996 meV/atom
Total magnetic moment   8.595 μB/cell

No. 9
Computed, not measured: Ce2HoTmSb5 after structural relaxation at the GGA-PBE level of DFT.

Structure (CIF):
```
data_Ce2HoTmSb5
_cell_length_a 5.296
_cell_length_b 5.296
_cell_length_c 11.491
_cell_angle_alpha 90.00
_cell_angle_beta 90.00
_cell_angle_gamma 90.00
_symmetry_space_group_name_H-M 'P 4/m m m'
_symmetry_Int_Tables_number 123
_symmetry_space_group_name_Hall '-P 4 2'
loop_
_atom_site_label
_atom_site_fract_x
_atom_site_fract_y
_atom_site_fract_z
Ce1 0.000 0.000 0.212
Ho1 0.500 0.500 0.000
Tm1 0.500 0.500 0.500
Sb1 0.000 0.000 0.500
Sb2 0.000 0.500 0.000
Sb3 0.500 0.500 0.254
```

Results
E_form (uncorrected)   -271 meV/atom
Total magnetic moment   1.715 μB/cell

No. 10
Computed, not measured: Ce2HoTmSb4 after structural relaxation at the GGA-PBE level of DFT.

Structure (CIF):
```
data_Ce2HoTmSb4
_cell_length_a 7.653
_cell_length_b 4.429
_cell_length_c 7.674
_cell_angle_alpha 90.00
_cell_angle_beta 109.51
_cell_angle_gamma 90.00
_symmetry_space_group_name_H-M 'P 1 2/m 1'
_symmetry_Int_Tables_number 10
loop_
_symmetry_equiv_pos_as_xyz
'x,y,z'
'-x,-y,-z'
'-x,y,-z'
'x,-y,z'
loop_
_atom_site_label
_atom_site_fract_x
_atom_site_fract_y
_atom_site_fract_z
Ce1 0.000 0.000 0.000
Ce2 0.000 0.500 0.500
Ho1 0.500 0.000 0.500
Tm1 0.500 0.500 0.000
Sb1 0.258 0.500 0.252
Sb2 0.259 0.000 0.754
```

Results
E_form (uncorrected)   -1067 meV/atom
Total magnetic moment   1.563 μB/cell

No. 11
Computed, not measured: Ce2HoTm3Sb6 after structural relaxation at the GGA-PBE level of DFT.

Structure (CIF):
```
data_Ce2HoTm3Sb6
_cell_length_a 19.141
_cell_length_b 4.404
_cell_length_c 8.786
_cell_angle_alpha 90.00
_cell_angle_beta 103.14
_cell_angle_gamma 90.00
_symmetry_space_group_name_H-M 'C 1 2/m 1'
_symmetry_Int_Tables_number 12
loop_
_symmetry_equiv_pos_as_xyz
'x,y,z'
'-x,-y,-z'
'-x,y,-z'
'x,-y,z'
'x+1/2,y+1/2,z'
'-x+1/2,-y+1/2,-z'
'-x+1/2,y+1/2,-z'
'x+1/2,-y+1/2,z'
loop_
_atom_site_label
_atom_site_fract_x
_atom_site_fract_y
_atom_site_fract_z
Ce1 0.165 0.000 0.332
Ho1 0.000 0.500 0.000
Tm1 0.000 0.500 0.500
Tm2 0.167 0.000 0.834
Sb1 0.003 0.000 0.750
Sb2 0.165 0.500 0.589
Sb3 0.167 0.500 0.077
```

Results
E_form (uncorrected)   -1066 meV/atom
Total magnetic moment   2.961 μB/cell

No. 12
Computed, not measured: Ce2Ho3TmSb6 after structural relaxation at the GGA-PBE level of DFT.

Structure (CIF):
```
data_Ce2Ho3TmSb6
_cell_length_a 19.193
_cell_length_b 4.413
_cell_length_c 8.810
_cell_angle_alpha 90.00
_cell_angle_beta 103.25
_cell_angle_gamma 90.00
_symmetry_space_group_name_H-M 'C 1 2/m 1'
_symmetry_Int_Tables_number 12
loop_
_symmetry_equiv_pos_as_xyz
'x,y,z'
'-x,-y,-z'
'-x,y,-z'
'x,-y,z'
'x+1/2,y+1/2,z'
'-x+1/2,-y+1/2,-z'
'-x+1/2,y+1/2,-z'
'x+1/2,-y+1/2,z'
loop_
_atom_site_label
_atom_site_fract_x
_atom_site_fract_y
_atom_site_fract_z
Ce1 0.165 0.000 0.331
Ho1 0.000 0.500 0.500
Ho2 0.168 0.000 0.834
Tm1 0.000 0.500 0.000
Sb1 0.002 0.000 0.753
Sb2 0.165 0.500 0.587
Sb3 0.166 0.500 0.077
```

Results
E_form (uncorrected)   -1081 meV/atom
Total magnetic moment   2.932 μB/cell